(1)
Here is a relaxed structure of CuTe2PbI from Alexandria. Energies are from GGA-PBEsol.

Cell: 5.139 5.139 5.329 Å, 90.00 90.00 90.00°
Positions (direct):
Cu 0.000 0.000 0.000
Te 0.000 0.500 0.000
Te 0.500 0.000 0.000
Pb 0.500 0.500 0.500
I 0.000 0.000 0.500

Output
The energy relative to the elements, uncorrected is 0.09 eV per atom.

(2)
Here is a relaxed structure of YCu2PbI from Alexandria. Energies are from GGA-PBEsol.

Cell: 4.828 4.828 6.012 Å, 90.00 90.00 90.00°
Positions (direct):
Y 0.000 0.000 0.000
Cu 0.000 0.500 0.500
Cu 0.500 0.000 0.500
Pb 0.500 0.500 0.000
I 0.500 0.500 0.500

Output
The energy relative to the elements, uncorrected is 0.71 eV per atom.